# 1
DFT (GGA-PBEsol) results for a relaxed structure of Ba2W3.

Energy relative to the elements (eV/atom): 1.435
Space-group type: R-3m, No. 166

Structure (extended XYZ):
```
15
Lattice="3.1474 0.0000 0.0000 -1.5737 2.7257 0.0000 0.0000 0.0000 40.7894" Properties=species:S:1:pos:R:3 pbc="T T T"
Ba 0.0000 0.0000 3.9543
Ba 0.0000 0.0000 36.8352
Ba 0.0000 1.8172 23.2387
Ba 0.0000 1.8172 31.1473
Ba 1.5737 0.9086 9.6422
Ba 1.5737 0.9086 17.5508
W 0.0000 0.0000 14.4518
W 0.0000 0.0000 20.3947
W 0.0000 0.0000 26.3377
W 0.0000 1.8172 0.8553
W 0.0000 1.8172 6.7983
W 0.0000 1.8172 12.7412
W 1.5737 0.9086 28.0483
W 1.5737 0.9086 33.9912
W 1.5737 0.9086 39.9342
```

---

# 2
DFT (GGA-PBEsol) results for a relaxed structure of P4S3.

Formation energy without anion corrections (eV/atom): -0.106
Space-group type: Pnma, No. 62

Structure (extended XYZ):
```
28
Lattice="10.7484 0.0000 0.0000 0.0000 9.8173 0.0000 0.0000 0.0000 6.3399" Properties=species:S:1:pos:R:3 pbc="T T T"
P 0.7079 1.3272 1.4734
P 0.7079 3.5814 1.4734
P 0.9458 7.3630 3.8569
P 1.7530 2.4543 4.3833
P 3.6212 7.3630 1.2133
P 4.4284 2.4543 0.6869
P 4.6663 6.2359 4.6433
P 4.6663 8.4901 4.6433
P 6.0821 1.3272 1.6966
P 6.0821 3.5814 1.6966
P 6.3200 7.3630 5.6530
P 7.1272 2.4543 5.1266
P 8.9954 7.3630 1.9566
P 9.8026 2.4543 2.4830
P 10.0405 6.2359 4.8665
P 10.0405 8.4901 4.8665
S 0.3548 7.3630 1.8454
S 2.0116 0.8442 3.0426
S 2.0116 4.0644 3.0426
S 3.3626 5.7529 6.2126
S 3.3626 8.9730 6.2126
S 5.0194 2.4543 5.0153
S 5.7290 7.3630 1.3246
S 7.3858 0.8442 0.1273
S 7.3858 4.0644 0.1273
S 8.7368 5.7529 3.2973
S 8.7368 8.9730 3.2973
S 10.3936 2.4543 4.4945
```

---

# 3
DFT (GGA-PBEsol) results for a relaxed structure of ZnRe2As.

Energy relative to the elements (eV/atom): 0.459
Space-group type: I-4m2, No. 119

Structure (extended XYZ):
```
8
Lattice="3.8806 0.0000 0.0000 0.0000 3.8806 0.0000 0.0000 0.0000 7.6479" Properties=species:S:1:pos:R:3 pbc="T T T"
Zn 0.0000 0.0000 0.0000
Zn 1.9403 1.9403 3.8240
Re 0.0000 0.0000 3.8240
Re 0.0000 1.9403 5.7360
Re 1.9403 0.0000 1.9120
Re 1.9403 1.9403 0.0000
As 0.0000 1.9403 1.9120
As 1.9403 0.0000 5.7360
```

---

# 4
DFT (GGA-PBEsol) results for a relaxed structure of AlTlHgGe2.

Energy relative to the elements (eV/atom): 0.482
Space-group type: P4/mmm, No. 123

Structure (extended XYZ):
```
5
Lattice="4.8703 0.0000 0.0000 0.0000 4.8703 0.0000 0.0000 0.0000 5.3431" Properties=species:S:1:pos:R:3 pbc="T T T"
Al 0.0000 0.0000 0.0000
Tl 0.0000 0.0000 2.6715
Hg 2.4352 2.4352 2.6715
Ge 0.0000 2.4352 0.0000
Ge 2.4352 0.0000 0.0000
```

---

# 5
DFT (GGA-PBEsol) results for a relaxed structure of ZnHg3.

Energy relative to the elements (eV/atom): 0.059
Space-group type: C2/m, No. 12

Structure (extended XYZ):
```
8
Lattice="8.9770 0.0000 0.0000 0.0000 3.2872 0.0000 -1.4438 0.0000 5.7251" Properties=species:S:1:pos:R:3 pbc="T T T"
Zn 0.0000 0.0000 0.0000
Zn 4.4885 1.6436 0.0000
Hg -0.7219 1.6436 2.8626
Hg 1.8204 1.6436 1.3010
Hg 1.2244 0.0000 4.4242
Hg 3.7666 0.0000 2.8626
Hg 6.3089 0.0000 1.3010
Hg 5.7129 1.6436 4.4242
```

---

# 6
DFT (GGA-PBEsol) results for a relaxed structure of Rb3NiO2.

Formation energy without anion corrections (eV/atom): -0.955
Space-group type: P4_12_12, No. 92

Structure (extended XYZ):
```
24
Lattice="6.2068 0.0000 0.0000 0.0000 6.2068 0.0000 0.0000 0.0000 14.3574" Properties=species:S:1:pos:R:3 pbc="T T T"
Rb 0.1624 2.9399 1.7886
Rb 0.1635 3.2658 5.3779
Rb 0.3419 0.3419 7.1787
Rb 2.7615 3.4453 10.7681
Rb 2.9399 0.1624 12.5688
Rb 2.9410 6.0433 1.8008
Rb 3.2658 0.1635 8.9795
Rb 3.2669 6.0444 5.3901
Rb 3.4453 2.7615 3.5894
Rb 5.8649 5.8649 0.0000
Rb 6.0433 2.9410 12.5567
Rb 6.0444 3.2669 8.9673
Ni 0.0251 6.1817 3.5894
Ni 3.0783 3.0783 0.0000
Ni 3.1285 3.1285 7.1787
Ni 6.1817 0.0251 10.7681
O 1.1871 1.2712 10.5649
O 1.2712 1.1871 3.7925
O 1.8322 4.2905 14.1543
O 1.9163 4.3746 7.3819
O 4.2905 1.8322 0.2032
O 4.3746 1.9163 6.9756
O 4.9356 5.0197 10.9712
O 5.0197 4.9356 3.3862
```

---

# 7
DFT (GGA-PBEsol) results for a relaxed structure of RbFeF4.

Formation energy without anion corrections (eV/atom): -2.403
Space-group type: Pmmn, No. 59

Structure (extended XYZ):
```
24
Lattice="7.6933 0.0000 0.0000 0.0000 7.6978 0.0000 0.0000 0.0000 6.1432" Properties=species:S:1:pos:R:3 pbc="T T T"
Rb 1.9233 1.9244 0.0040
Rb 1.9233 5.7733 0.3680
Rb 5.7700 1.9244 5.7752
Rb 5.7700 5.7733 6.1391
Fe 0.0000 0.0000 3.0716
Fe 0.0000 3.8489 3.0716
Fe 3.8467 0.0000 3.0716
Fe 3.8467 3.8489 3.0716
F 0.0508 1.9244 3.5804
F 0.3799 4.2216 4.8565
F 0.3799 7.3251 4.8565
F 1.9233 0.0741 2.5560
F 1.9233 3.7748 2.5560
F 3.4668 4.2216 4.8565
F 3.4668 7.3251 4.8565
F 3.7959 1.9244 3.5804
F 3.8974 5.7733 2.5628
F 4.2266 0.3727 1.2866
F 4.2266 3.4762 1.2866
F 5.7700 3.9229 3.5872
F 5.7700 7.6237 3.5872
F 7.3134 0.3727 1.2866
F 7.3134 3.4762 1.2866
F 7.6426 5.7733 2.5628
```

---

# 8
DFT (GGA-PBEsol) results for a relaxed structure of BaLiFeRu2.

Energy relative to the elements (eV/atom): 1.587
Space-group type: P4/mmm, No. 123

Structure (extended XYZ):
```
5
Lattice="4.3320 0.0000 0.0000 0.0000 4.3320 0.0000 0.0000 0.0000 4.7540" Properties=species:S:1:pos:R:3 pbc="T T T"
Ba 0.0000 0.0000 0.0000
Li 0.0000 0.0000 2.3770
Fe 2.1660 2.1660 0.0000
Ru 0.0000 2.1660 2.3770
Ru 2.1660 0.0000 2.3770
```

---

# 9
DFT (GGA-PBEsol) results for a relaxed structure of Sc8Hg.

Energy relative to the elements (eV/atom): -0.068
Space-group type: I4/mmm, No. 139

Structure (extended XYZ):
```
9
Lattice="-4.7840 4.7840 2.2240 4.7840 -4.7840 2.2240 4.7840 4.7840 -2.2240" Properties=species:S:1:pos:R:3 pbc="T T T"
Sc 3.1812 0.0000 0.0000
Sc 6.3869 0.0000 0.0000
Sc 0.0000 3.1812 0.0000
Sc 3.2303 3.2303 0.0000
Sc 1.5537 -1.5537 2.2240
Sc -1.5537 1.5537 2.2240
Sc 1.5537 1.5537 2.2240
Sc 0.0000 6.3869 0.0000
Hg 0.0000 0.0000 0.0000
```

---

# 10
DFT (GGA-PBEsol) results for a relaxed structure of ZrSnTe2I.

Formation energy without anion corrections (eV/atom): 0.624
Space-group type: P4/mmm, No. 123

Structure (extended XYZ):
```
5
Lattice="5.5841 0.0000 0.0000 0.0000 5.5841 0.0000 0.0000 0.0000 5.5636" Properties=species:S:1:pos:R:3 pbc="T T T"
Zr 0.0000 0.0000 0.0000
Sn 2.7921 2.7921 2.7818
Te 0.0000 2.7921 2.7818
Te 2.7921 0.0000 2.7818
I 2.7921 2.7921 0.0000
```

---

# 11
DFT (GGA-PBEsol) results for a relaxed structure of SrAlZn.

Energy relative to the elements (eV/atom): -0.048
Space-group type: I4mm, No. 107

Structure (extended XYZ):
```
6
Lattice="3.4869 0.0000 0.0000 0.0000 3.4869 0.0000 0.0000 0.0000 11.5530" Properties=species:S:1:pos:R:3 pbc="T T T"
Sr 0.0000 0.0000 0.0000
Sr 1.7434 1.7434 5.7765
Al 0.0000 0.0000 3.4279
Al 1.7434 1.7434 9.2044
Zn 0.0000 0.0000 8.0098
Zn 1.7434 1.7434 2.2333
```

---

# 12
DFT (GGA-PBEsol) results for a relaxed structure of SiMo2P.

Formation energy without anion corrections (eV/atom): 0.034
Space-group type: F-43m, No. 216

Structure (extended XYZ):
```
16
Lattice="6.0894 0.0000 0.0000 0.0000 6.0894 0.0000 0.0000 0.0000 6.0894" Properties=species:S:1:pos:R:3 pbc="T T T"
Si 0.0000 0.0000 0.0000
Si 0.0000 3.0447 3.0447
Si 3.0447 0.0000 3.0447
Si 3.0447 3.0447 0.0000
Mo 0.0000 0.0000 3.0447
Mo 0.0000 3.0447 0.0000
Mo 1.5223 1.5223 4.5670
Mo 1.5223 4.5670 1.5223
Mo 3.0447 0.0000 0.0000
Mo 3.0447 3.0447 3.0447
Mo 4.5670 1.5223 1.5223
Mo 4.5670 4.5670 4.5670
P 1.5223 1.5223 1.5223
P 1.5223 4.5670 4.5670
P 4.5670 1.5223 4.5670
P 4.5670 4.5670 1.5223
```

---

# 13
DFT (GGA-PBEsol) results for a relaxed structure of MgPd3Br.

Formation energy without anion corrections (eV/atom): 0.370
Space-group type: Pm-3m, No. 221

Structure (extended XYZ):
```
5
Lattice="4.6988 0.0000 0.0000 0.0000 4.6988 0.0000 0.0000 0.0000 4.6988" Properties=species:S:1:pos:R:3 pbc="T T T"
Mg 0.0000 0.0000 0.0000
Pd 0.0000 2.3494 2.3494
Pd 2.3494 0.0000 2.3494
Pd 2.3494 2.3494 0.0000
Br 2.3494 2.3494 2.3494
```

---

# 14
DFT (GGA-PBEsol) results for a relaxed structure of ZnMoW.

Energy relative to the elements (eV/atom): 0.188
Space-group type: I4mm, No. 107

Structure (extended XYZ):
```
6
Lattice="3.2727 0.0000 0.0000 0.0000 3.2727 0.0000 0.0000 0.0000 8.3676" Properties=species:S:1:pos:R:3 pbc="T T T"
Zn 0.0000 0.0000 0.0000
Zn 1.6364 1.6364 4.1838
Mo 0.0000 0.0000 5.6188
Mo 1.6364 1.6364 1.4350
W 0.0000 0.0000 2.7470
W 1.6364 1.6364 6.9308
```

---

# 15
DFT (GGA-PBEsol) results for a relaxed structure of KNiHgTe2.

Formation energy without anion corrections (eV/atom): 0.830
Space-group type: P4/mmm, No. 123

Structure (extended XYZ):
```
5
Lattice="5.5816 0.0000 0.0000 0.0000 5.5816 0.0000 0.0000 0.0000 5.6844" Properties=species:S:1:pos:R:3 pbc="T T T"
K 0.0000 0.0000 0.0000
Ni 2.7908 2.7908 0.0000
Hg 0.0000 0.0000 2.8422
Te 0.0000 2.7908 2.8422
Te 2.7908 0.0000 2.8422
```

---

# 16
DFT (GGA-PBEsol) results for a relaxed structure of CdNi3As.

Energy relative to the elements (eV/atom): 0.271
Space-group type: Pm-3m, No. 221

Structure (extended XYZ):
```
5
Lattice="4.2808 0.0000 0.0000 0.0000 4.2808 0.0000 0.0000 0.0000 4.2808" Properties=species:S:1:pos:R:3 pbc="T T T"
Cd 0.0000 0.0000 0.0000
Ni 0.0000 2.1404 2.1404
Ni 2.1404 0.0000 2.1404
Ni 2.1404 2.1404 0.0000
As 2.1404 2.1404 2.1404
```

---

# 17
DFT (GGA-PBEsol) results for a relaxed structure of As2O5.

Formation energy without anion corrections (eV/atom): -1.100
Space-group type: P2_12_12_1, No. 19

Structure (extended XYZ):
```
28
Lattice="4.6517 0.0000 0.0000 0.0000 8.6337 0.0000 0.0000 0.0000 8.6978" Properties=species:S:1:pos:R:3 pbc="T T T"
As 0.5634 0.2801 2.4866
As 0.5712 5.6420 7.8377
As 1.7547 2.9917 3.4888
As 1.7624 8.3536 6.8355
As 2.8893 4.0367 6.2112
As 2.8970 7.3086 0.8601
As 4.0805 1.3251 5.2090
As 4.0883 4.5970 1.8623
O 0.2606 0.0401 4.1722
O 0.5230 2.7081 4.7926
O 0.5599 0.9085 6.6433
O 0.7563 4.4722 2.9336
O 0.9364 1.9434 2.1997
O 1.3895 6.6903 6.5486
O 1.5696 4.1615 7.2825
O 1.7660 7.7252 2.2944
O 1.8029 5.9256 0.4437
O 2.0652 8.5936 8.5211
O 2.5865 4.2768 4.5255
O 2.8488 1.6088 3.9052
O 2.8858 3.4084 2.0545
O 3.0821 8.4784 5.7642
O 3.2623 2.3734 6.4981
O 3.7153 6.2603 2.1492
O 3.8955 0.1553 1.4153
O 4.0918 5.2254 6.4034
O 4.1287 7.0250 8.2541
O 4.3911 4.3570 0.1767
```

---

# 18
DFT (GGA-PBEsol) results for a relaxed structure of Sc2Zn.

Energy relative to the elements (eV/atom): -0.088
Space-group type: P-3m1, No. 164

Structure (extended XYZ):
```
3
Lattice="4.6277 0.0000 0.0000 -2.3139 4.0077 0.0000 0.0000 0.0000 3.2179" Properties=species:S:1:pos:R:3 pbc="T T T"
Sc 0.0000 2.6718 0.6968
Sc 2.3139 1.3359 2.5210
Zn 0.0000 0.0000 1.6089
```

---

# 19
DFT (GGA-PBEsol) results for a relaxed structure of Ni2AgPd.

Energy relative to the elements (eV/atom): 0.204
Space-group type: Fm-3m, No. 225

Structure (extended XYZ):
```
16
Lattice="5.9256 0.0000 0.0000 0.0000 5.9256 0.0000 0.0000 0.0000 5.9256" Properties=species:S:1:pos:R:3 pbc="T T T"
Ni 1.4814 1.4814 1.4814
Ni 1.4814 1.4814 4.4442
Ni 1.4814 4.4442 1.4814
Ni 1.4814 4.4442 4.4442
Ni 4.4442 1.4814 1.4814
Ni 4.4442 1.4814 4.4442
Ni 4.4442 4.4442 1.4814
Ni 4.4442 4.4442 4.4442
Ag 0.0000 0.0000 0.0000
Ag 0.0000 2.9628 2.9628
Ag 2.9628 0.0000 2.9628
Ag 2.9628 2.9628 0.0000
Pd 0.0000 0.0000 2.9628
Pd 0.0000 2.9628 0.0000
Pd 2.9628 0.0000 0.0000
Pd 2.9628 2.9628 2.9628
```

---

# 20
DFT (GGA-PBEsol) results for a relaxed structure of ZnFe2Os.

Energy relative to the elements (eV/atom): 0.133
Space-group type: P4mm, No. 99

Structure (extended XYZ):
```
4
Lattice="2.6195 0.0000 0.0000 0.0000 2.6195 0.0000 0.0000 0.0000 7.1487" Properties=species:S:1:pos:R:3 pbc="T T T"
Zn 0.0000 0.0000 0.0000
Fe 0.0000 0.0000 3.5292
Fe 1.3098 1.3098 1.8151
Os 1.3098 1.3098 5.1438
```

---

It is found that the energy values, taken in the order of the records, are -38.55, -37.06, -31.52, -14.76, -3.05, -25.46, -32.12, -25.49, -54.02, -19.05, -7.66, -34.94, -19.62, -26.59, -10.76, -23.42, -44.16, -15.06, -20.77, -31.19 eV/f.u..